The following is a DFT calculation (PBE-GGA) of an optimized crystal structure of ZrTaTi.

a b c (Å): 4.7557 4.7557 2.9858
angles (deg): 90.00 90.00 120.00
Atoms (fractional coordinates):
1 Zr 0.0000 0.0000 0.0000
2 Ta 0.6667 0.3333 0.4145
3 Ti 0.3333 0.6667 0.5819

Output
- DOS(E_F): 1.243 states/eV/atom
- Energy relative to the lowest polymorph listed for this composition: 0.0 meV per atom
- Formation energy from the elements: 0.4 eV per formula unit
- Final energy: -9.3103 eV/atom
- Crystal system: trigonal
- Calculated volume: 19.5 A^3/atom